Entry 1:
The following is a PBE calculation of a relaxed structure of TiMnAs2Se, from Alexandria via LeMat-Bulk.

a b c (Å): 4.908 4.908 4.876
angles (deg): 90.00 90.00 90.00
Fractional positions:
Ti: 0.000 0.000 0.000
Mn: 0.500 0.500 0.500
As: 0.000 0.500 0.000
As: 0.500 0.000 0.000
Se: 0.000 0.000 0.500

Values from the calculation:
The calculation puts the energy above the lowest structure with this stoichiometry at 0.0 kJ/mol of atoms. For the energy relative to the elements, uncorrected, the calculation gives 0.23 eV/atom.

Entry 2:
The following is a PBE calculation of a relaxed structure of TlCoAg2, from Alexandria via LeMat-Bulk.

a b c (Å): 3.047 3.808 6.163
angles (deg): 90.00 90.00 90.00
Fractional positions:
Tl: 0.000 0.000 0.000
Co: 0.500 0.500 0.766
Ag: 0.000 0.000 0.537
Ag: 0.500 0.500 0.297

Values from the calculation:
The calculation puts the energy above the lowest structure with this stoichiometry at 4.9 kJ/mol of atoms. The calculation puts the energy relative to the elements at 0.4088 eV per atom.

Entry 3:
The following is a PBE calculation of a relaxed structure of BaRhO2F, from Alexandria via LeMat-Bulk.

a b c (Å): 4.939 4.939 4.865
angles (deg): 90.00 90.00 90.00
Fractional positions:
Ba: 0.000 0.000 0.000
Rh: 0.500 0.500 0.500
O: 0.000 0.500 0.000
O: 0.500 0.000 0.000
F: 0.000 0.000 0.500

Values from the calculation:
For the energy relative to the elements, uncorrected, the calculation gives -0.19 eV/atom.

no.,magnetization (μB/f.u.)
1,4.6
2,1.4
3,4.0